Compound: Sm8Ho6Cd
Source: the Alexandria database
Functional: PBE
Structure: optimized geometry

Output
energy of formation from the pure elements	0.101	eV/atom
space group	No. 147
Fermi-level density of states	20.6	states/eV per cell

Unit cell a=9.4223 b=9.4223 c=6.3439 alpha=90.00 beta=90.00 gamma=120.00
Closest atoms and distances in Å follow each position.
Sites, in units of the cell vectors:
Sm: 0.0421 0.2692 0.1871  1 Cd 3.09, 3 Sm 3.35-3.36, 1 Ho 3.38
Sm: 0.2271 0.9579 0.1871  1 Cd 3.09, 3 Sm 3.35-3.36, 1 Ho 3.38
Sm: 0.2692 0.2271 0.8129  1 Cd 3.09, 3 Sm 3.35-3.36, 1 Ho 3.38
Sm: 0.3333 0.6667 0.1806  3 Sm 3.36, 3 Ho 3.72
Sm: 0.6667 0.3333 0.8194  3 Sm 3.36, 3 Ho 3.72
Sm: 0.7308 0.7729 0.1871  1 Cd 3.09, 3 Sm 3.35-3.36, 1 Ho 3.38
Sm: 0.7729 0.0421 0.8129  1 Cd 3.09, 3 Sm 3.35-3.36, 1 Ho 3.38
Sm: 0.9579 0.7308 0.8129  1 Cd 3.09, 3 Sm 3.35-3.36, 1 Ho 3.38
Ho: 0.0961 0.4545 0.6801  1 Ho 3.28, 5 Sm 3.38-3.64
Ho: 0.3584 0.9039 0.6801  1 Ho 3.28, 5 Sm 3.38-3.64
Ho: 0.4545 0.3584 0.3199  1 Ho 3.28, 5 Sm 3.38-3.64
Ho: 0.5455 0.6416 0.6801  1 Ho 3.28, 5 Sm 3.38-3.64
Ho: 0.6416 0.0961 0.3199  1 Ho 3.28, 5 Sm 3.38-3.64
Ho: 0.9039 0.5455 0.3199  1 Ho 3.28, 5 Sm 3.38-3.64
Cd: 0.0000 0.0000 0.5000  6 Sm 3.09


Compound: Tb6Pr2Zn
Source: the Alexandria database
Functional: PBE
Structure: optimized geometry

Output
energy of formation from the pure elements	0.027	eV/atom
space group	No. 58
Fermi-level density of states	24.8	states/eV per cell

Unit cell a=9.8108 b=10.3020 c=5.4738 alpha=90.00 beta=90.00 gamma=90.00
Closest atoms and distances in Å follow each position.
Sites, in units of the cell vectors:
Tb: 0.0124 0.1899 0.0000  1 Zn 3.20, 3 Pr 3.27-3.28, 1 Tb 3.57
Tb: 0.1359 0.6015 0.5000  2 Zn 3.22, 3 Tb 3.37-3.57, 3 Pr 3.52-3.58
Tb: 0.1923 0.9244 0.5000  1 Zn 3.12, 1 Pr 3.33, 1 Tb 3.37
Tb: 0.3077 0.4244 0.0000  1 Zn 3.12, 1 Pr 3.33, 1 Tb 3.37
Tb: 0.3641 0.1015 0.0000  2 Zn 3.22, 3 Tb 3.37-3.57, 3 Pr 3.52-3.58
Tb: 0.4876 0.6899 0.5000  1 Zn 3.20, 3 Pr 3.27-3.28, 1 Tb 3.57
Tb: 0.5124 0.3101 0.5000  1 Zn 3.20, 3 Pr 3.27-3.28, 1 Tb 3.57
Tb: 0.6359 0.8985 0.0000  2 Zn 3.22, 3 Tb 3.37-3.57, 3 Pr 3.52-3.58
Tb: 0.6923 0.5756 0.0000  1 Zn 3.12, 1 Pr 3.33, 1 Tb 3.37
Tb: 0.8077 0.0756 0.5000  1 Zn 3.12, 1 Pr 3.33, 1 Tb 3.37
Tb: 0.8641 0.3985 0.5000  2 Zn 3.22, 3 Tb 3.37-3.57, 3 Pr 3.52-3.58
Tb: 0.9876 0.8101 0.0000  1 Zn 3.20, 3 Pr 3.27-3.28, 1 Tb 3.57
Pr: 0.1857 0.2478 0.5000  9 Tb 3.27-3.58
Pr: 0.3143 0.7478 0.0000  9 Tb 3.27-3.58
Pr: 0.6857 0.2522 0.0000  9 Tb 3.27-3.58
Pr: 0.8143 0.7522 0.5000  9 Tb 3.27-3.58
Zn: 0.0000 0.5000 0.0000  8 Tb 3.12-3.22
Zn: 0.5000 0.0000 0.5000  8 Tb 3.12-3.22


Compound: SbOsBr2
Source: the Alexandria database
Functional: PBE
Structure: optimized geometry

Output
E_form (uncorrected)	1303	meV/atom
space group	No. 65
Fermi-level density of states	8.3	states/eV per cell

Unit cell a=6.3707 b=8.6676 c=3.1211 alpha=90.00 beta=90.00 gamma=90.00
Closest atoms and distances in Å follow each position.
Sites, in units of the cell vectors:
Sb: 0.0000 0.0000 0.0000  8 Br 3.11, 2 Sb 3.12, 2 Os 3.19
Sb: 0.5000 0.5000 0.0000  8 Br 3.11, 2 Sb 3.12, 2 Os 3.19
Os: 0.0000 0.5000 0.0000  8 Br 3.11, 2 Os 3.12, 2 Sb 3.19
Os: 0.5000 0.0000 0.0000  8 Br 3.11, 2 Os 3.12, 2 Sb 3.19
Br: 0.2500 0.2500 0.5000  4 Sb 3.11, 4 Os 3.11, 4 Br 3.12-3.19
Br: 0.2500 0.7500 0.5000  4 Os 3.11, 4 Sb 3.11, 4 Br 3.12-3.19
Br: 0.7500 0.2500 0.5000  4 Sb 3.11, 4 Os 3.11, 4 Br 3.12-3.19
Br: 0.7500 0.7500 0.5000  4 Sb 3.11, 4 Os 3.11, 4 Br 3.12-3.19


Compound: HfBe4Co2
Source: the Alexandria database
Functional: PBE
Structure: optimized geometry

Output
energy of formation from the pure elements	-0.272	eV/atom
space group	No. 139
Fermi-level density of states	8.0	states/eV per cell

Unit cell a=5.5871 b=5.5871 c=4.6475 alpha=90.00 beta=90.00 gamma=90.00
Closest atoms and distances in Å follow each position.
Sites, in units of the cell vectors:
Hf: 0.0000 0.0000 0.0000  12 Be 2.49-2.74
Hf: 0.5000 0.5000 0.5000  12 Be 2.49-2.74
Be: 0.1849 0.1849 0.5000  2 Be 2.07
Be: 0.1849 0.8151 0.5000  2 Be 2.07
Be: 0.3151 0.3151 0.0000  2 Be 2.07
Be: 0.3151 0.6849 0.0000  2 Be 2.07
Be: 0.6849 0.3151 0.0000  2 Be 2.07
Be: 0.6849 0.6849 0.0000  2 Be 2.07
Be: 0.8151 0.1849 0.5000  2 Be 2.07
Be: 0.8151 0.8151 0.5000  2 Be 2.07
Co: 0.0000 0.5000 0.2500  2 Co 2.32, 8 Be 2.35
Co: 0.0000 0.5000 0.7500  2 Co 2.32, 8 Be 2.35
Co: 0.5000 0.0000 0.2500  2 Co 2.32, 8 Be 2.35
Co: 0.5000 0.0000 0.7500  2 Co 2.32, 8 Be 2.35


Compound: LiHo2NpS6
Source: the Alexandria database
Functional: PBE
Structure: optimized geometry

Output
E_form (uncorrected)	-1571	meV/atom
space group	No. 146
Fermi-level density of states	7.8	states/eV per cell

Unit cell a=7.2251 b=7.2251 c=7.2251 alpha=55.87 beta=55.87 gamma=55.87
Closest atoms and distances in Å follow each position.
Sites, in units of the cell vectors:
Li: 0.0000 0.0000 0.0000  6 S 2.64-2.82
Ho: 0.2009 0.2009 0.2009  6 S 2.71-2.75
Ho: 0.7096 0.7096 0.7096  6 S 2.70-2.79
Np: 0.5121 0.5121 0.5121  6 S 2.62
S: 0.1283 0.7820 0.3994  1 Np 2.62, 2 Ho 2.70-2.75, 1 Li 2.82
S: 0.3044 0.6059 0.9000  1 Np 2.62, 1 Li 2.64, 2 Ho 2.71-2.79
S: 0.3994 0.1283 0.7820  1 Np 2.62, 2 Ho 2.70-2.75, 1 Li 2.82
S: 0.6059 0.9000 0.3044  1 Np 2.62, 1 Li 2.64, 2 Ho 2.71-2.79
S: 0.7820 0.3994 0.1283  1 Np 2.62, 2 Ho 2.70-2.75, 1 Li 2.82
S: 0.9000 0.3044 0.6059  1 Np 2.62, 1 Li 2.64, 2 Ho 2.71-2.79


Compound: Th6TlTc
Source: the Alexandria database
Functional: PBE
Structure: optimized geometry

Output
energy of formation from the pure elements	0.129	eV/atom
space group	No. 12
Fermi-level density of states	19.2	states/eV per cell

Unit cell a=8.2348 b=10.0824 c=6.5190 alpha=90.00 beta=108.35 gamma=90.00
Closest atoms and distances in Å follow each position.
Sites, in units of the cell vectors:
Th: 0.1004 0.1987 0.2991  1 Tc 2.74
Th: 0.1004 0.8013 0.2991  1 Tc 2.74
Th: 0.2007 0.5000 0.0986  1 Tc 2.74
Th: 0.2993 0.0000 0.9014  1 Tc 2.74
Th: 0.3996 0.3013 0.7009  1 Tc 2.74
Th: 0.3996 0.6987 0.7009  1 Tc 2.74
Th: 0.6004 0.3013 0.2991  1 Tc 2.74
Th: 0.6004 0.6987 0.2991  1 Tc 2.74
Th: 0.7007 0.0000 0.0986  1 Tc 2.74
Th: 0.7993 0.5000 0.9014  1 Tc 2.74
Th: 0.8996 0.1987 0.7009  1 Tc 2.74
Th: 0.8996 0.8013 0.7009  1 Tc 2.74
Tl: 0.0000 0.5000 0.5000  12 Th 3.51-3.73
Tl: 0.5000 0.0000 0.5000  12 Th 3.51-3.73
Tc: 0.0000 0.0000 0.0000  6 Th 2.74
Tc: 0.5000 0.5000 0.0000  6 Th 2.74


Compound: Dy4HoAgS8
Source: the Alexandria database
Functional: PBE
Structure: optimized geometry

Output
E_form (uncorrected)	-1831	meV/atom
space group	No. 160
Fermi-level density of states	0.0	states/eV per cell

Unit cell a=8.0146 b=8.0146 c=8.0146 alpha=60.09 beta=60.09 gamma=60.09
Closest atoms and distances in Å follow each position.
Sites, in units of the cell vectors:
Dy: 0.0000 0.0000 0.0000  4 S 2.62
Dy: 0.1377 0.6205 0.6205  6 S 2.70-2.80
Dy: 0.6205 0.1377 0.6205  6 S 2.70-2.80
Dy: 0.6205 0.6205 0.1377  6 S 2.70-2.80
Ho: 0.6204 0.6204 0.6204  6 S 2.69-2.79
Ag: 0.2496 0.2496 0.2496  4 S 2.61
S: 0.3825 0.3825 0.3825  1 Ag 2.61, 3 Dy 2.70
S: 0.3832 0.3832 0.8514  1 Ag 2.61, 1 Ho 2.69, 2 Dy 2.70
S: 0.3832 0.8514 0.3832  1 Ag 2.61, 1 Ho 2.69, 2 Dy 2.70
S: 0.4006 0.8656 0.8656  3 Dy 2.62-2.80, 1 Ho 2.79
S: 0.8514 0.3832 0.3832  1 Ag 2.61, 1 Ho 2.69, 2 Dy 2.70
S: 0.8656 0.4006 0.8656  3 Dy 2.62-2.80, 1 Ho 2.79
S: 0.8656 0.8656 0.4006  3 Dy 2.62-2.80, 1 Ho 2.79
S: 0.8664 0.8664 0.8664  4 Dy 2.62-2.80


Compound: SmCuC2O6
Source: the Alexandria database
Functional: PBE
Structure: optimized geometry

Output
E_form (uncorrected)	-1706	meV/atom
space group	No. 148

Unit cell a=6.2084 b=6.2084 c=6.2084 alpha=47.49 beta=47.49 gamma=47.49
Closest atoms and distances in Å follow each position.
Sites, in units of the cell vectors:
Sm: 0.0000 0.0000 0.0000  6 O 2.37
Cu: 0.5000 0.5000 0.5000  6 O 2.29
C: 0.2487 0.2487 0.2487  3 O 1.30
C: 0.7513 0.7513 0.7513  3 O 1.30
O: 0.0169 0.7377 0.4970  1 C 1.30
O: 0.2623 0.5030 0.9831  1 C 1.30
O: 0.4970 0.0169 0.7377  1 C 1.30
O: 0.5030 0.9831 0.2623  1 C 1.30
O: 0.7377 0.4970 0.0169  1 C 1.30
O: 0.9831 0.2623 0.5030  1 C 1.30